Pr2MnAlGa6: optimized geometry, PBE-GGA.

## Properties
**Energy of formation**: -0.3031 eV per atom
**Calculated volume**: 21.0 Å³ per atom
**Crystal system**: orthorhombic
**Final energy**: -4.366 eV per atom

Cell lengths 6.742, 8.806, 7.089 Å; angles 90.00, 90.00, 90.00 degrees
Space group Pmmn (No. 59, origin choice 2)
Unique sites:
Pr 0.250 0.004 0.249 [4 per cell]
Mn 0.250 0.250 0.897 [2 per cell]
Al 0.250 0.750 0.589 [2 per cell]
Ga 0.059 0.750 0.946 [4 per cell]
Ga 0.065 0.250 0.591 [4 per cell]
Ga 0.250 0.506 0.778 [4 per cell]